The following is a PBE-GGA calculation of a relaxed Na2Ag3IrO6 crystal, from Alexandria.

Unit cell a=5.906 b=9.656 c=6.229 alpha=90.00 beta=116.25 gamma=90.00
Space group C2/m (No. 12)
One atom of each set of equivalent atoms:
Na: 0.000 0.166 0.000
Ag: 0.000 0.172 0.500
Ag: 0.000 0.500 0.500
Ir: 0.000 0.500 0.000
O: 0.057 0.361 0.780
O: 0.145 0.000 0.792

Summary:
Its raw total energy is -4.76 eV per atom. The value obtained for the raw formation energy is -58.6 kJ per mole of atoms. The size of the total moment comes out at 0.0694 μB/atom.